CsP2NCl | PBE | optimized geometry

```
data_CsP2NCl
_chemical_formula_sum 'Cs1 P2 N1 Cl1'
_cell_length_a 4.206
_cell_length_b 4.206
_cell_length_c 8.819
_cell_angle_alpha 90.00
_cell_angle_beta 90.00
_cell_angle_gamma 90.00
_space_group_name_H-M_alt 'P 4/m m m'
_space_group_IT_number 123
_space_group_name_Hall '-P 4 2'
loop_
_atom_site_label
_atom_site_type_symbol
_atom_site_fract_x
_atom_site_fract_y
_atom_site_fract_z
Cs1 Cs 0.000 0.000 0.000
P1 P 0.000 0.500 0.500
N1 N 0.500 0.500 0.500
Cl1 Cl 0.500 0.500 0.000
```



CsP2NCl | PBE | optimized geometry

```
data_CsP2NCl
_chemical_formula_sum 'Cs1 P2 N1 Cl1'
_cell_length_a 5.841
_cell_length_b 5.841
_cell_length_c 5.791
_cell_angle_alpha 90.00
_cell_angle_beta 90.00
_cell_angle_gamma 90.00
_space_group_name_H-M_alt 'P 4/m m m'
_space_group_IT_number 123
_space_group_name_Hall '-P 4 2'
loop_
_atom_site_label
_atom_site_type_symbol
_atom_site_fract_x
_atom_site_fract_y
_atom_site_fract_z
Cs1 Cs 0.000 0.000 0.000
P1 P 0.000 0.500 0.000
N1 N 0.500 0.500 0.500
Cl1 Cl 0.000 0.000 0.500
```



Formation energy (no corrections) for the records above, in order: 497.5 2193.6 meV/atom
Energy above the lowest structure with this stoichiometry for the records above, in order: 0 1696 meV/atom